1.
Entry from the Alexandria database: a relaxed structure of Pr3AgGeS7 (PBE).

Its uncorrected formation energy is -1423 meV per atom.

The space group is P6_3 (No. 173) and the conventional cell measures 10.4067, 10.4067 and 5.8698 Å, with angles of 90.00, 90.00 and 120.00 degrees. Symmetry generates all atoms from Pr at (0.1247, 0.3589, 0.0000), Ag at (0.0000, 0.0000, 0.0462), Ge at (0.3333, 0.6667, 0.4160), S at (0.0936, 0.2684, 0.5167), S at (0.1085, 0.5881, 0.2597) and S at (0.3333, 0.6667, 0.7916).

2.
Entry from the Alexandria database: a relaxed structure of TbY6Tm8 (PBE).

The value obtained for the energy is -5.04 eV per atom.

The space group is P-3 (No. 147) and the conventional cell measures 9.3886, 9.3886 and 6.4072 Å, with angles of 90.00, 90.00 and 120.00 degrees. Symmetry generates all atoms from Tb at (0.0000, 0.0000, 0.0000), Y at (0.1042, 0.4202, 0.9117), Tm at (0.0208, 0.6864, 0.5920) and Tm at (0.3333, 0.6667, 0.3529).

3.
Entry from the Alexandria database: a relaxed structure of BeCr2Cu (PBE).

The value obtained for the energy is -6.62 eV per atom.

The space group is P4/mmm (No. 123) and the conventional cell measures 2.377, 2.377 and 7.656 Å, with angles of 90.00, 90.00 and 90.00 degrees. Symmetry generates all atoms from Be at (0.000, 0.000, 0.000), Cr at (0.500, 0.500, 0.232) and Cu at (0.000, 0.000, 0.500).